A geometry-optimized InCu5 structure, computed with PBE-GGA.

Summary:
For the total magnetization, the calculation gives 0.00 Bohr magnetons per cell. As for the crystal system: tetragonal. The calculation puts the density at 8.75 g/cm3. The energy of formation from the pure elements is 0.0535 eV per atom. The density of states at the Fermi level comes out at 2.18 states/eV/cell. The raw total energy comes out at -22.9 eV/cell.

a = 3.0736 Å, b = 3.0736 Å, c = 8.6891 Å
α = 90.00°, β = 90.00°, γ = 90.00°
Space group P4/mmm (No. 123)
Asymmetric unit:
1 In 0.0000 0.0000 0.0000 [1 per cell]
2 Cu 0.0000 0.0000 0.3498 [2 per cell]
3 Cu 0.5000 0.5000 0.2021 [2 per cell]
4 Cu 0.5000 0.5000 0.5000 [1 per cell]